Sr2Li2Pd15 after structural relaxation. Source: Alexandria via LeMat-Bulk, functional PBE-GGA.

Geometry as POSCAR:
```
Sr2Li2Pd15
1.0
7.009 -0.017 -0.015
0.893 6.952 -0.015
0.893 0.783 6.907
Sr Li Pd
2 2 15
Direct
0.343 0.343 0.343
0.657 0.657 0.657
0.096 0.096 0.096
0.904 0.904 0.904
0.500 0.000 0.000
0.000 0.000 0.500
0.000 0.500 0.000
0.000 0.698 0.302
0.698 0.302 0.000
0.302 0.000 0.698
0.302 0.698 0.000
0.698 0.000 0.302
0.000 0.302 0.698
0.156 0.657 0.657
0.657 0.657 0.156
0.657 0.156 0.657
0.844 0.343 0.343
0.343 0.343 0.844
0.343 0.844 0.343
```

Calculated values
Formation energy from the elements: -0.328 eV per atom
Density of states at the Fermi level: 19.27 states/eV/cell
Total magnetization: 0.00 Bohr magnetons per cell
SG: R-3m